# 1
CdP2OsCl: relaxed, GGA-PBE.

Unit cell a=4.947 b=4.947 c=4.916 alpha=90.00 beta=90.00 gamma=90.00
Each line ends with the local moment (μB).
Fractional coordinates of all 5 atoms:
Cd 0.000 0.000 0.000  0.00
P 0.500 0.000 0.000  -0.17
P 0.000 0.500 0.000  -0.17
Cl 0.000 0.000 0.500  0.04
Os 0.500 0.500 0.500  2.77

Values from the calculation:
SG: P4/mmm, No. 123
Offset from the most stable computed form: 1.4480 eV/atom



# 2
ZnCrTe: relaxed, GGA-PBE.

Unit cell a=4.562 b=4.562 c=4.562 alpha=60.00 beta=60.00 gamma=60.00
Each line ends with the local moment (μB).
Fractional coordinates of all 3 atoms:
Zn 0.500 0.500 0.500  -0.01
Te 0.000 0.000 0.000  -0.09
Cr 0.750 0.750 0.750  3.61

Values from the calculation:
SG: F-43m, No. 216
Offset from the most stable computed form: 0.1077 eV/atom



# 3
Ni2HgW: relaxed, GGA-PBE.

Unit cell a=4.783 b=4.783 c=4.783 alpha=132.68 beta=132.68 gamma=69.16
Fractional coordinates of all 4 atoms:
Hg 0.750 0.250 0.500
Ni 0.000 0.000 0.000
Ni 0.250 0.750 0.500
W 0.500 0.500 0.000

Values from the calculation:
SG: I-4m2, No. 119
Uncorrected energy: -5.684 eV per atom



# 4
MgTcSb2: relaxed, GGA-PBE.

Unit cell a=4.671 b=4.671 c=5.725 alpha=80.28 beta=80.28 gamma=43.21
Fractional coordinates of all 4 atoms:
Sb 0.018 0.018 0.970
Sb 0.482 0.482 0.530
Tc 0.750 0.750 0.750
Mg 0.250 0.250 0.250

Values from the calculation:
SG: C2/m, No. 12
Offset from the most stable computed form: 0.1012 eV/atom



# 5
PuTh2C3: relaxed, GGA-PBE.

Unit cell a=5.236 b=8.296 c=8.296 alpha=143.18 beta=90.00 gamma=90.00
Each line ends with the local moment (μB).
Fractional coordinates of all 12 atoms:
Pu 0.493 0.250 0.250  4.46
Pu 0.993 0.750 0.750  4.46
Th 0.993 0.087 0.413  0.00
Th 0.493 0.913 0.587  0.00
Th 0.993 0.413 0.087  0.00
Th 0.493 0.587 0.913  0.00
C 0.493 0.092 0.408  -0.07
C 0.493 0.750 0.750  -0.18
C 0.493 0.408 0.092  -0.07
C 0.993 0.908 0.592  -0.07
C 0.993 0.592 0.908  -0.07
C 0.993 0.250 0.250  -0.18

Values from the calculation:
SG: I4/mmm, No. 139
Uncorrected energy: -9.575 eV per atom



# 6
Tb2DyHo2Tm2: relaxed, GGA-PBE.

Unit cell a=5.609 b=5.609 c=8.673 alpha=71.13 beta=71.13 gamma=60.00
Fractional coordinates of all 7 atoms:
Ho 0.716 0.716 0.852
Ho 0.284 0.284 0.148
Tm 0.572 0.572 0.284
Tm 0.428 0.428 0.716
Dy 0.000 0.000 0.000
Tb 0.859 0.859 0.422
Tb 0.141 0.141 0.578

Values from the calculation:
SG: R-3m, No. 166
Uncorrected energy: -4.422 eV per atom



# 7
Sr5S4O: relaxed, GGA-PBE.

Unit cell a=6.018 b=7.232 c=7.232 alpha=80.03 beta=65.41 gamma=65.41
Fractional coordinates of all 10 atoms:
Sr 0.280 0.811 0.629
Sr 0.091 0.629 0.189
Sr 0.721 0.189 0.371
Sr 0.454 0.000 0.000
Sr 0.910 0.371 0.811
S 0.802 0.797 0.605
S 0.599 0.605 0.203
S 0.406 0.395 0.797
S 0.204 0.203 0.395
O 0.044 0.000 0.000

Values from the calculation:
SG: I4, No. 79
Uncorrected energy: -5.188 eV per atom



# 8
LiCoReRh: relaxed, GGA-PBE.

Unit cell a=4.188 b=4.188 c=4.188 alpha=60.00 beta=60.00 gamma=60.00
Each line ends with the local moment (μB).
Fractional coordinates of all 4 atoms:
Re 0.250 0.250 0.250  0.33
Co 0.500 0.500 0.500  1.50
Li 0.750 0.750 0.750  -0.01
Rh 0.000 0.000 0.000  0.14

Values from the calculation:
SG: F-43m, No. 216
Uncorrected energy: -7.120 eV per atom



# 9
Pm2ThAl4: relaxed, GGA-PBE.

Unit cell a=4.314 b=4.332 c=10.106 alpha=102.38 beta=102.32 gamma=90.00
Fractional coordinates of all 7 atoms:
Al 0.934 0.434 0.869
Al 0.360 0.360 0.720
Al 0.066 0.566 0.131
Al 0.640 0.640 0.280
Pm 0.814 0.814 0.628
Pm 0.186 0.186 0.372
Th 0.500 0.000 0.000

Values from the calculation:
SG: Immm, No. 71
Uncorrected energy: -4.957 eV per atom



# 10
Np2Sb2N: relaxed, GGA-PBE.

Unit cell a=5.818 b=6.489 c=7.587 alpha=115.32 beta=112.55 gamma=90.00
Each line ends with the local moment (μB).
Fractional coordinates of all 10 atoms:
Sb 0.657 0.991 0.314  -0.13
Sb 0.343 0.009 0.686  -0.13
Sb 0.843 0.677 0.686  -0.13
Sb 0.157 0.323 0.314  -0.13
Np 0.593 0.398 0.186  3.21
Np 0.093 0.788 0.186  3.21
Np 0.407 0.602 0.814  3.21
Np 0.907 0.212 0.814  3.21
N 0.250 0.500 0.000  -0.18
N 0.750 0.500 0.000  -0.18

Values from the calculation:
SG: Ibam, No. 72
Uncorrected energy: -8.953 eV per atom



# 11
PmTm4In5: relaxed, GGA-PBE.

Unit cell a=3.718 b=3.718 c=18.998 alpha=90.00 beta=90.00 gamma=90.00
Fractional coordinates of all 10 atoms:
Tm 0.000 0.000 0.794
Tm 0.000 0.000 0.598
Tm 0.000 0.000 0.402
Tm 0.000 0.000 0.206
In 0.500 0.500 0.305
In 0.500 0.500 0.892
In 0.500 0.500 0.108
In 0.500 0.500 0.500
In 0.500 0.500 0.695
Pm 0.000 0.000 0.000

Values from the calculation:
SG: P4/mmm, No. 123
Uncorrected energy: -4.072 eV per atom



# 12
CaZrSe2: relaxed, GGA-PBE.

Unit cell a=6.780 b=6.780 c=3.928 alpha=89.99 beta=89.99 gamma=33.26
Fractional coordinates of all 4 atoms:
Ca 0.223 0.223 0.125
Se 0.746 0.746 0.625
Se 0.995 0.995 0.125
Zr 0.537 0.537 0.625

Values from the calculation:
SG: Amm2, No. 38
Offset from the most stable computed form: 0.1976 eV/atom



# 13
K2LaTe: relaxed, GGA-PBE.

Unit cell a=13.097 b=13.097 c=13.097 alpha=17.22 beta=17.22 gamma=17.22
Fractional coordinates of all 4 atoms:
K 0.483 0.483 0.483
K 0.017 0.017 0.017
La 0.250 0.250 0.250
Te 0.750 0.750 0.750

Values from the calculation:
SG: R-3m, No. 166
Uncorrected energy: -2.630 eV per atom



# 14
CsSnIr3: relaxed, GGA-PBE.

Unit cell a=5.076 b=5.076 c=5.076 alpha=90.00 beta=90.00 gamma=90.00
Each line ends with the local moment (μB).
Fractional coordinates of all 5 atoms:
Ir 0.000 0.000 0.500  0.64
Ir 0.000 0.500 0.000  0.55
Ir 0.500 0.000 0.000  0.41
Cs 0.500 0.500 0.500  0.00
Sn 0.000 0.000 0.000  -0.04

Values from the calculation:
SG: Pm-3m, No. 221
Offset from the most stable computed form: 0.0000 eV/atom



# 15
KAlHg2Au: relaxed, GGA-PBE.

Unit cell a=5.412 b=5.926 c=5.412 alpha=90.00 beta=90.00 gamma=90.00
Fractional coordinates of all 5 atoms:
Hg 0.000 0.000 0.500
Hg 0.500 0.000 0.000
Au 0.000 0.000 0.000
Al 0.500 0.500 0.500
K 0.000 0.500 0.000

Values from the calculation:
SG: P4/mmm, No. 123
Offset from the most stable computed form: 0.4624 eV/atom



# 16
Li3H6Ru: relaxed, GGA-PBE.

Unit cell a=3.181 b=5.285 c=8.451 alpha=90.00 beta=90.00 gamma=90.00
Fractional coordinates of all 20 atoms:
H 0.500 0.142 0.937
H 0.000 0.358 0.437
H 0.000 0.019 0.792
H 0.000 0.981 0.208
H 0.500 0.194 0.578
H 0.500 0.858 0.063
H 0.500 0.481 0.292
H 0.000 0.306 0.078
H 0.000 0.694 0.922
H 0.000 0.642 0.563
H 0.500 0.519 0.708
H 0.500 0.806 0.422
Ru 0.500 0.500 0.500
Ru 0.000 0.000 0.000
Li 0.000 0.651 0.259
Li 0.000 0.000 0.500
Li 0.500 0.151 0.241
Li 0.000 0.349 0.741
Li 0.500 0.500 0.000
Li 0.500 0.849 0.759

Values from the calculation:
SG: Pnnm, No. 58
Offset from the most stable computed form: 0.0000 eV/atom



# 17
LiSc2Ru: relaxed, GGA-PBE.

Unit cell a=3.342 b=3.342 c=6.538 alpha=90.00 beta=90.00 gamma=90.00
Fractional coordinates of all 4 atoms:
Ru 0.500 0.500 0.714
Sc 0.000 0.000 0.936
Sc 0.500 0.500 0.312
Li 0.000 0.000 0.539

Values from the calculation:
SG: P4mm, No. 99
Offset from the most stable computed form: 0.3153 eV/atom



# 18
TiTcSeN2: relaxed, GGA-PBE.

Unit cell a=3.874 b=3.874 c=5.315 alpha=90.00 beta=90.00 gamma=90.00
Each line ends with the local moment (μB).
Fractional coordinates of all 5 atoms:
Ti 0.000 0.000 0.000  0.09
N 0.500 0.000 0.000  -0.11
N 0.000 0.500 0.000  -0.11
Tc 0.500 0.500 0.500  3.36
Se 0.000 0.000 0.500  0.04

Values from the calculation:
SG: P4/mmm, No. 123
Offset from the most stable computed form: 0.2400 eV/atom



# 19
KBe3Tl: relaxed, GGA-PBE.

Unit cell a=5.593 b=5.593 c=5.593 alpha=90.00 beta=90.00 gamma=90.00
Fractional coordinates of all 5 atoms:
Be 0.000 0.000 0.500
Be 0.000 0.500 0.000
Be 0.500 0.000 0.000
K 0.000 0.000 0.000
Tl 0.500 0.500 0.500

Values from the calculation:
SG: Pm-3m, No. 221
Offset from the most stable computed form: 0.9768 eV/atom



# 20
CaCoMoAu2: relaxed, GGA-PBE.

Unit cell a=5.152 b=4.386 c=5.152 alpha=90.00 beta=90.00 gamma=90.00
Each line ends with the local moment (μB).
Fractional coordinates of all 5 atoms:
Au 0.500 0.000 0.000  0.02
Au 0.000 0.000 0.500  0.01
Mo 0.000 0.000 0.000  0.10
Ca 0.500 0.500 0.500  0.00
Co 0.000 0.500 0.000  0.55

Values from the calculation:
SG: P4/mmm, No. 123
Uncorrected energy: -4.789 eV per atom



# 21
ZrAuNF2: relaxed, GGA-PBE.

Unit cell a=4.186 b=4.186 c=4.339 alpha=90.00 beta=90.00 gamma=90.00
Fractional coordinates of all 5 atoms:
F 0.500 0.000 0.000
F 0.000 0.500 0.000
N 0.000 0.000 0.500
Au 0.500 0.500 0.500
Zr 0.000 0.000 0.000

Values from the calculation:
SG: P4/mmm, No. 123
Offset from the most stable computed form: 0.0000 eV/atom



# 22
Ac2Dy7Y3: relaxed, GGA-PBE.

Unit cell a=3.593 b=6.420 c=18.248 alpha=75.77 beta=90.00 gamma=90.00
Fractional coordinates of all 12 atoms:
Y 0.000 0.111 0.342
Y 0.000 0.889 0.658
Y 0.500 0.500 0.000
Dy 0.500 0.239 0.501
Dy 0.000 0.562 0.159
Dy 0.500 0.761 0.499
Dy 0.500 0.934 0.837
Dy 0.000 0.438 0.841
Dy 0.500 0.066 0.163
Dy 0.000 0.000 0.000
Ac 0.500 0.616 0.326
Ac 0.500 0.384 0.674

Values from the calculation:
SG: P2/m, No. 10
Uncorrected energy: -4.877 eV per atom



# 23
PuMnIrRh: relaxed, GGA-PBE.

Unit cell a=4.611 b=4.611 c=4.611 alpha=60.00 beta=60.00 gamma=60.00
Each line ends with the local moment (μB).
Fractional coordinates of all 4 atoms:
Rh 0.250 0.250 0.250  -0.10
Pu 0.500 0.500 0.500  4.77
Mn 0.000 0.000 0.000  3.89
Ir 0.750 0.750 0.750  -0.04

Values from the calculation:
SG: F-43m, No. 216
Uncorrected energy: -10.170 eV per atom



# 24
CePr6YTm2: relaxed, GGA-PBE.

Unit cell a=8.890 b=7.168 c=6.659 alpha=122.56 beta=100.41 gamma=90.00
Each line ends with the local moment (μB).
Fractional coordinates of all 10 atoms:
Pr 0.421 0.629 0.259  0.01
Pr 0.202 0.598 0.658  0.01
Pr 0.798 0.402 0.342  0.01
Pr 0.202 0.060 0.658  0.01
Pr 0.579 0.371 0.741  0.01
Pr 0.798 0.940 0.342  0.01
Y 0.500 0.000 0.000  -0.01
Tm 0.160 0.093 0.185  0.03
Tm 0.840 0.907 0.815  0.03
Ce 0.000 0.500 0.000  0.81

Values from the calculation:
SG: C2/m, No. 12
Uncorrected energy: -4.769 eV per atom



# 25
TaCoSe4: relaxed, GGA-PBE.

Unit cell a=4.922 b=8.042 c=8.077 alpha=103.51 beta=90.00 gamma=107.82
Fractional coordinates of all 12 atoms:
Se 0.750 0.500 0.353
Se 0.878 0.756 0.018
Se 0.062 0.123 0.379
Se 0.938 0.877 0.621
Se 0.371 0.741 0.286
Se 0.629 0.259 0.714
Se 0.122 0.244 0.982
Se 0.250 0.500 0.647
Ta 0.201 0.401 0.269
Ta 0.799 0.599 0.731
Co 0.903 0.805 0.324
Co 0.097 0.195 0.676

Values from the calculation:
SG: C2/m, No. 12
Uncorrected energy: -5.787 eV per atom



# 26
La2AgHg8: relaxed, GGA-PBE.

Unit cell a=5.034 b=7.251 c=8.964 alpha=113.63 beta=106.31 gamma=90.00
Fractional coordinates of all 11 atoms:
Hg 0.999 0.286 0.998
Hg 0.625 0.411 0.250
Hg 0.627 0.843 0.253
Hg 0.373 0.157 0.747
Hg 0.001 0.714 0.002
Hg 0.375 0.589 0.750
Hg 0.154 0.155 0.307
Hg 0.846 0.845 0.693
Ag 0.500 0.000 0.000
La 0.210 0.709 0.419
La 0.790 0.291 0.581

Values from the calculation:
SG: C2/m, No. 12
Uncorrected energy: -1.642 eV per atom



no.,N(E_F) (states/eV per cell)
1,4.9
2,0.7
3,3.7
4,2.6
5,18.4
6,17.7
7,0.0
8,1.3
9,5.6
10,25.6
11,5.7
12,2.2
13,6.6
14,7.2
15,3.2
16,2.9
17,4.1
18,2.4
19,5.8
20,6.4
21,1.1
22,18.5
23,5.3
24,22.1
25,6.2
26,5.9